*a*
Compound: TeH3Pt
Source: Alexandria
Functional: PBE
Structure: optimized geometry Values from VASP.

Structure (Quantum ESPRESSO input):
```
&SYSTEM
  ibrav = 0, nat = 10, ntyp = 3
/
ATOMIC_SPECIES
Te 127.60 Te.upf
H 1.01 H.upf
Pt 195.08 Pt.upf
CELL_PARAMETERS angstrom
4.552 0.000 0.000
0.000 6.745 0.000
0.000 0.000 4.345
ATOMIC_POSITIONS crystal
Te 0.000 0.051 0.000
Te 0.500 0.949 0.500
H 0.000 0.682 0.202
H 0.247 0.596 0.855
H 0.253 0.404 0.355
H 0.500 0.318 0.702
H 0.747 0.404 0.355
H 0.753 0.596 0.855
Pt 0.000 0.460 0.082
Pt 0.500 0.540 0.582
```

Values from the calculation:
- Space group: Pmn2_1

=====

*b*
Compound: TeH3Pt
Source: Alexandria
Functional: PBE
Structure: optimized geometry Values from VASP.

Structure (Quantum ESPRESSO input):
```
&SYSTEM
  ibrav = 0, nat = 5, ntyp = 3
/
ATOMIC_SPECIES
Te 127.60 Te.upf
H 1.01 H.upf
Pt 195.08 Pt.upf
CELL_PARAMETERS angstrom
3.901 0.000 0.000
0.000 3.901 0.000
0.000 0.000 3.901
ATOMIC_POSITIONS crystal
Te 0.000 0.000 0.000
H 0.000 0.000 0.500
H 0.000 0.500 0.000
H 0.500 0.000 0.000
Pt 0.500 0.500 0.500
```

Values from the calculation:
- Space group: Pm-3m

=====

Each structure's energy above the most stable one, in meV per atom: *a* 0; *b* 1033.

=====

*a*
Compound: Ti3H3Pt
Source: Alexandria
Functional: PBE
Structure: optimized geometry Values from VASP.

Structure (Quantum ESPRESSO input):
```
&SYSTEM
  ibrav = 0, nat = 14, ntyp = 3
/
ATOMIC_SPECIES
Ti 47.87 Ti.upf
H 1.01 H.upf
Pt 195.08 Pt.upf
CELL_PARAMETERS angstrom
2.640 1.524 6.527
-2.640 1.524 6.527
0.000 -3.048 6.527
ATOMIC_POSITIONS crystal
Ti 0.100 0.426 0.774
Ti 0.226 0.900 0.574
Ti 0.426 0.774 0.100
Ti 0.574 0.226 0.900
Ti 0.774 0.100 0.426
Ti 0.900 0.574 0.226
H 0.136 0.797 0.476
H 0.203 0.524 0.864
H 0.476 0.136 0.797
H 0.524 0.864 0.203
H 0.797 0.476 0.136
H 0.864 0.203 0.524
Pt 0.333 0.333 0.333
Pt 0.667 0.667 0.667
```

Values from the calculation:
- Space group: R-3

=====

*b*
Compound: Ti3H3Pt
Source: Alexandria
Functional: PBE
Structure: optimized geometry Values from VASP.

Structure (Quantum ESPRESSO input):
```
&SYSTEM
  ibrav = 0, nat = 14, ntyp = 3
/
ATOMIC_SPECIES
Ti 47.87 Ti.upf
H 1.01 H.upf
Pt 195.08 Pt.upf
CELL_PARAMETERS angstrom
5.220 0.000 0.000
0.000 5.220 0.000
0.000 0.000 5.220
ATOMIC_POSITIONS crystal
Ti 0.000 0.250 0.500
Ti 0.000 0.750 0.500
Ti 0.250 0.500 0.000
Ti 0.500 0.000 0.250
Ti 0.500 0.000 0.750
Ti 0.750 0.500 0.000
H 0.000 0.500 0.250
H 0.000 0.500 0.750
H 0.250 0.000 0.500
H 0.500 0.250 0.000
H 0.500 0.750 0.000
H 0.750 0.000 0.500
Pt 0.000 0.000 0.000
Pt 0.500 0.500 0.500
```

Values from the calculation:
- Space group: Pm-3n

=====

Each structure's energy above the most stable one, in meV per atom: *a* 205; *b* 0.

=====

*a*
Compound: TiH2Pt2
Source: Alexandria
Functional: PBE
Structure: optimized geometry Values from VASP.

Structure (Quantum ESPRESSO input):
```
&SYSTEM
  ibrav = 0, nat = 10, ntyp = 3
/
ATOMIC_SPECIES
Ti 47.87 Ti.upf
H 1.01 H.upf
Pt 195.08 Pt.upf
CELL_PARAMETERS angstrom
6.342 0.000 0.000
0.000 6.342 0.000
0.000 0.000 2.805
ATOMIC_POSITIONS crystal
Ti 0.000 0.000 0.000
Ti 0.500 0.500 0.000
H 0.226 0.274 0.000
H 0.274 0.774 0.000
H 0.726 0.226 0.000
H 0.774 0.726 0.000
Pt 0.154 0.654 0.500
Pt 0.346 0.154 0.500
Pt 0.654 0.846 0.500
Pt 0.846 0.346 0.500
```

Values from the calculation:
- Space group: P4/mbm

=====

*b*
Compound: TiH2Pt2
Source: Alexandria
Functional: PBE
Structure: optimized geometry Values from VASP.

Structure (Quantum ESPRESSO input):
```
&SYSTEM
  ibrav = 0, nat = 5, ntyp = 3
/
ATOMIC_SPECIES
Ti 47.87 Ti.upf
H 1.01 H.upf
Pt 195.08 Pt.upf
CELL_PARAMETERS angstrom
-1.765 1.765 4.295
1.765 -1.765 4.295
1.765 1.765 -4.295
ATOMIC_POSITIONS crystal
Ti 0.000 0.000 0.000
H 0.250 0.750 0.500
H 0.750 0.250 0.500
Pt 0.342 0.342 0.000
Pt 0.658 0.658 0.000
```

Values from the calculation:
- Space group: I4/mmm

=====

Each structure's energy above the most stable one, in meV per atom: *a* 111; *b* 0.

=====

*a*
Compound: Ti4HPt2
Source: Alexandria
Functional: PBE
Structure: optimized geometry Values from VASP.

Structure (Quantum ESPRESSO input):
```
&SYSTEM
  ibrav = 0, nat = 7, ntyp = 3
/
ATOMIC_SPECIES
Ti 47.87 Ti.upf
H 1.01 H.upf
Pt 195.08 Pt.upf
CELL_PARAMETERS angstrom
5.016 0.000 0.000
0.000 2.786 0.000
-1.782 0.000 7.170
ATOMIC_POSITIONS crystal
Ti 0.000 0.000 0.000
Ti 0.079 0.500 0.633
Ti 0.390 0.500 0.337
Ti 0.483 0.000 0.984
H 0.197 0.500 0.899
Pt 0.601 0.000 0.653
Pt 0.872 0.000 0.321
```

Values from the calculation:
- Space group: Pm

=====

*b*
Compound: Ti4HPt2
Source: Alexandria
Functional: PBE
Structure: optimized geometry Values from VASP.

Structure (Quantum ESPRESSO input):
```
&SYSTEM
  ibrav = 0, nat = 7, ntyp = 3
/
ATOMIC_SPECIES
Ti 47.87 Ti.upf
H 1.01 H.upf
Pt 195.08 Pt.upf
CELL_PARAMETERS angstrom
-1.938 1.938 6.890
1.938 -1.938 6.890
1.938 1.938 -6.890
ATOMIC_POSITIONS crystal
Ti 0.000 0.500 0.500
Ti 0.181 0.181 0.000
Ti 0.500 0.000 0.500
Ti 0.819 0.819 0.000
H 0.000 0.000 0.000
Pt 0.359 0.359 0.000
Pt 0.641 0.641 0.000
```

Values from the calculation:
- Space group: I4/mmm

=====

Each structure's energy above the most stable one, in meV per atom: *a* 86; *b* 0.

=====

*a*
Compound: TiHPt3
Source: Alexandria
Functional: PBE
Structure: optimized geometry Values from VASP.

Structure (Quantum ESPRESSO input):
```
&SYSTEM
  ibrav = 0, nat = 5, ntyp = 3
/
ATOMIC_SPECIES
Ti 47.87 Ti.upf
H 1.01 H.upf
Pt 195.08 Pt.upf
CELL_PARAMETERS angstrom
4.022 0.000 0.000
0.000 4.022 0.000
0.000 0.000 4.022
ATOMIC_POSITIONS crystal
Ti 0.000 0.000 0.000
H 0.500 0.500 0.500
Pt 0.000 0.500 0.500
Pt 0.500 0.000 0.500
Pt 0.500 0.500 0.000
```

Values from the calculation:
- Space group: Pm-3m

=====

*b*
Compound: TiHPt3
Source: Alexandria
Functional: PBE
Structure: optimized geometry Values from VASP.

Structure (Quantum ESPRESSO input):
```
&SYSTEM
  ibrav = 0, nat = 5, ntyp = 3
/
ATOMIC_SPECIES
Ti 47.87 Ti.upf
H 1.01 H.upf
Pt 195.08 Pt.upf
CELL_PARAMETERS angstrom
4.710 0.000 0.000
0.000 4.710 0.000
0.000 0.000 4.710
ATOMIC_POSITIONS crystal
Ti 0.000 0.000 0.000
H 0.500 0.500 0.500
Pt 0.000 0.000 0.500
Pt 0.000 0.500 0.000
Pt 0.500 0.000 0.000
```

Values from the calculation:
- Space group: Pm-3m

=====

Each structure's energy above the most stable one, in meV per atom: *a* 0; *b* 1599.

=====

*a*
Compound: TlH2Pt
Source: Alexandria
Functional: PBE
Structure: optimized geometry Values from VASP.

Structure (Quantum ESPRESSO input):
```
&SYSTEM
  ibrav = 0, nat = 8, ntyp = 3
/
ATOMIC_SPECIES
Tl 204.38 Tl.upf
H 1.01 H.upf
Pt 195.08 Pt.upf
CELL_PARAMETERS angstrom
2.379 -4.893 0.000
2.379 4.893 0.000
-0.018 0.000 5.461
ATOMIC_POSITIONS crystal
Tl 0.207 0.793 0.750
Tl 0.793 0.207 0.250
H 0.263 0.264 0.000
H 0.264 0.263 0.500
H 0.736 0.737 0.500
H 0.737 0.736 0.000
Pt 0.493 0.507 0.250
Pt 0.507 0.493 0.750
```

Values from the calculation:
- Space group: C2/c

=====

*b*
Compound: TlH2Pt
Source: Alexandria
Functional: PBE
Structure: optimized geometry Values from VASP.

Structure (Quantum ESPRESSO input):
```
&SYSTEM
  ibrav = 0, nat = 4, ntyp = 3
/
ATOMIC_SPECIES
Tl 204.38 Tl.upf
H 1.01 H.upf
Pt 195.08 Pt.upf
CELL_PARAMETERS angstrom
0.000 2.901 2.901
2.901 0.000 2.901
2.901 2.901 0.000
ATOMIC_POSITIONS crystal
Tl 0.000 0.000 0.000
H 0.250 0.250 0.250
H 0.750 0.750 0.750
Pt 0.500 0.500 0.500
```

Values from the calculation:
- Space group: Fm-3m

=====

Each structure's energy above the most stable one, in meV per atom: *a* 0; *b* 964.

=====

*a*
Compound: TlH2Pt
Source: Alexandria
Functional: PBE
Structure: optimized geometry Values from VASP.

Structure (Quantum ESPRESSO input):
```
&SYSTEM
  ibrav = 0, nat = 4, ntyp = 3
/
ATOMIC_SPECIES
Tl 204.38 Tl.upf
H 1.01 H.upf
Pt 195.08 Pt.upf
CELL_PARAMETERS angstrom
1.553 0.897 6.348
-1.553 0.897 6.348
0.000 -1.794 6.348
ATOMIC_POSITIONS crystal
Tl 0.000 0.000 0.000
H 0.201 0.201 0.201
H 0.799 0.799 0.799
Pt 0.500 0.500 0.500
```

Values from the calculation:
- Space group: R-3m

=====

*b*
Compound: TlH2Pt
Source: Alexandria
Functional: PBE
Structure: optimized geometry Values from VASP.

Structure (Quantum ESPRESSO input):
```
&SYSTEM
  ibrav = 0, nat = 8, ntyp = 3
/
ATOMIC_SPECIES
Tl 204.38 Tl.upf
H 1.01 H.upf
Pt 195.08 Pt.upf
CELL_PARAMETERS angstrom
-2.730 2.730 3.833
2.730 -2.730 3.833
2.730 2.730 -3.833
ATOMIC_POSITIONS crystal
Tl 0.000 0.000 0.000
Tl 0.750 0.250 0.500
H 0.297 0.625 0.172
H 0.375 0.547 0.672
H 0.453 0.125 0.828
H 0.875 0.703 0.328
Pt 0.250 0.750 0.500
Pt 0.500 0.500 0.000
```

Values from the calculation:
- Space group: I-42d

=====

Each structure's energy above the most stable one, in meV per atom: *a* 75; *b* 0.

=====

*a*
Compound: TlH4Pt
Source: Alexandria
Functional: PBE
Structure: optimized geometry Values from VASP.

Structure (Quantum ESPRESSO input):
```
&SYSTEM
  ibrav = 0, nat = 12, ntyp = 3
/
ATOMIC_SPECIES
Tl 204.38 Tl.upf
H 1.01 H.upf
Pt 195.08 Pt.upf
CELL_PARAMETERS angstrom
3.366 -4.563 0.000
3.366 4.563 0.000
-1.204 0.000 5.249
ATOMIC_POSITIONS crystal
Tl 0.126 0.874 0.750
Tl 0.874 0.126 0.250
H 0.183 0.309 0.677
H 0.309 0.183 0.177
H 0.377 0.610 0.042
H 0.390 0.623 0.458
H 0.610 0.377 0.542
H 0.623 0.390 0.958
H 0.691 0.817 0.823
H 0.817 0.691 0.323
Pt 0.449 0.551 0.750
Pt 0.551 0.449 0.250
```

Values from the calculation:
- Space group: C2/c

=====

*b*
Compound: TlH4Pt
Source: Alexandria
Functional: PBE
Structure: optimized geometry Values from VASP.

Structure (Quantum ESPRESSO input):
```
&SYSTEM
  ibrav = 0, nat = 12, ntyp = 3
/
ATOMIC_SPECIES
Tl 204.38 Tl.upf
H 1.01 H.upf
Pt 195.08 Pt.upf
CELL_PARAMETERS angstrom
7.039 -2.617 0.000
7.039 2.617 0.000
-1.232 0.000 4.280
ATOMIC_POSITIONS crystal
Tl 0.168 0.168 0.234
Tl 0.832 0.832 0.766
H 0.191 0.583 0.380
H 0.276 0.724 0.000
H 0.333 0.333 0.908
H 0.417 0.809 0.620
H 0.583 0.191 0.380
H 0.667 0.667 0.092
H 0.724 0.276 0.000
H 0.809 0.417 0.620
Pt 0.436 0.436 0.192
Pt 0.564 0.564 0.808
```

Values from the calculation:
- Space group: C2/m

=====

Each structure's energy above the most stable one, in meV per atom: *a* 0; *b* 27.

=====

*a*
Compound: Tl2H2Pt
Source: Alexandria
Functional: PBE
Structure: optimized geometry Values from VASP.

Structure (Quantum ESPRESSO input):
```
&SYSTEM
  ibrav = 0, nat = 10, ntyp = 3
/
ATOMIC_SPECIES
Tl 204.38 Tl.upf
H 1.01 H.upf
Pt 195.08 Pt.upf
CELL_PARAMETERS angstrom
5.739 0.000 0.000
0.000 5.739 0.000
0.000 0.000 5.026
ATOMIC_POSITIONS crystal
Tl 0.189 0.311 0.000
Tl 0.311 0.811 0.000
Tl 0.689 0.189 0.000
Tl 0.811 0.689 0.000
H 0.244 0.744 0.500
H 0.256 0.244 0.500
H 0.744 0.756 0.500
H 0.756 0.256 0.500
Pt 0.000 0.000 0.500
Pt 0.500 0.500 0.500
```

Values from the calculation:
- Space group: P4/mbm

=====

*b*
Compound: Tl2H2Pt
Source: Alexandria
Functional: PBE
Structure: optimized geometry Values from VASP.

Structure (Quantum ESPRESSO input):
```
&SYSTEM
  ibrav = 0, nat = 5, ntyp = 3
/
ATOMIC_SPECIES
Tl 204.38 Tl.upf
H 1.01 H.upf
Pt 195.08 Pt.upf
CELL_PARAMETERS angstrom
-1.702 1.702 6.581
1.702 -1.702 6.581
1.702 1.702 -6.581
ATOMIC_POSITIONS crystal
Tl 0.135 0.135 0.000
Tl 0.865 0.865 0.000
H 0.250 0.750 0.500
H 0.750 0.250 0.500
Pt 0.500 0.500 0.000
```

Values from the calculation:
- Space group: I4/mmm

=====

*c*
Compound: Tl2H2Pt
Source: Alexandria
Functional: PBE
Structure: optimized geometry Values from VASP.

Structure (Quantum ESPRESSO input):
```
&SYSTEM
  ibrav = 0, nat = 10, ntyp = 3
/
ATOMIC_SPECIES
Tl 204.38 Tl.upf
H 1.01 H.upf
Pt 195.08 Pt.upf
CELL_PARAMETERS angstrom
4.719 0.000 0.000
-0.061 5.388 0.000
-2.315 -2.442 7.406
ATOMIC_POSITIONS crystal
Tl 0.064 0.335 0.175
Tl 0.392 0.165 0.827
Tl 0.608 0.835 0.173
Tl 0.936 0.665 0.825
H 0.243 0.979 0.459
H 0.285 0.517 0.542
H 0.715 0.483 0.458
H 0.757 0.021 0.541
Pt 0.499 0.750 0.500
Pt 0.501 0.250 0.500
```

Values from the calculation:
- Space group: P-1

=====

Each structure's energy above the most stable one, in meV per atom: *a* 343; *b* 495; *c* 0.

=====

*a*
Compound: Tl2HPt
Source: Alexandria
Functional: PBE
Structure: optimized geometry Values from VASP.

Structure (Quantum ESPRESSO input):
```
&SYSTEM
  ibrav = 0, nat = 4, ntyp = 3
/
ATOMIC_SPECIES
Tl 204.38 Tl.upf
H 1.01 H.upf
Pt 195.08 Pt.upf
CELL_PARAMETERS angstrom
0.000 3.371 3.371
3.371 0.000 3.371
3.371 3.371 0.000
ATOMIC_POSITIONS crystal
Tl 0.250 0.250 0.250
Tl 0.750 0.750 0.750
H 0.000 0.000 0.000
Pt 0.500 0.500 0.500
```

Values from the calculation:
- Space group: Fm-3m

=====

*b*
Compound: Tl2HPt
Source: Alexandria
Functional: PBE
Structure: optimized geometry Values from VASP.

Structure (Quantum ESPRESSO input):
```
&SYSTEM
  ibrav = 0, nat = 8, ntyp = 3
/
ATOMIC_SPECIES
Tl 204.38 Tl.upf
H 1.01 H.upf
Pt 195.08 Pt.upf
CELL_PARAMETERS angstrom
-2.811 2.811 6.092
2.811 -2.811 6.092
2.811 2.811 -6.092
ATOMIC_POSITIONS crystal
Tl 0.066 0.625 0.941
Tl 0.375 0.316 0.441
Tl 0.684 0.125 0.059
Tl 0.875 0.934 0.559
H 0.000 0.000 0.000
H 0.750 0.250 0.500
Pt 0.250 0.750 0.500
Pt 0.500 0.500 0.000
```

Values from the calculation:
- Space group: I-42d

=====

Each structure's energy above the most stable one, in meV per atom: *a* 36; *b* 0.

=====

*a*
Compound: TlHPt2
Source: Alexandria
Functional: PBE
Structure: optimized geometry Values from VASP.

Structure (Quantum ESPRESSO input):
```
&SYSTEM
  ibrav = 0, nat = 4, ntyp = 3
/
ATOMIC_SPECIES
Tl 204.38 Tl.upf
H 1.01 H.upf
Pt 195.08 Pt.upf
CELL_PARAMETERS angstrom
0.000 3.159 3.159
3.159 0.000 3.159
3.159 3.159 0.000
ATOMIC_POSITIONS crystal
Tl 0.000 0.000 0.000
H 0.500 0.500 0.500
Pt 0.250 0.250 0.250
Pt 0.750 0.750 0.750
```

Values from the calculation:
- Space group: Fm-3m

=====

*b*
Compound: TlHPt2
Source: Alexandria
Functional: PBE
Structure: optimized geometry Values from VASP.

Structure (Quantum ESPRESSO input):
```
&SYSTEM
  ibrav = 0, nat = 8, ntyp = 3
/
ATOMIC_SPECIES
Tl 204.38 Tl.upf
H 1.01 H.upf
Pt 195.08 Pt.upf
CELL_PARAMETERS angstrom
-2.768 2.768 4.224
2.768 -2.768 4.224
2.768 2.768 -4.224
ATOMIC_POSITIONS crystal
Tl 0.000 0.000 0.000
Tl 0.750 0.250 0.500
H 0.250 0.750 0.500
H 0.500 0.500 0.000
Pt 0.314 0.625 0.189
Pt 0.375 0.564 0.689
Pt 0.436 0.125 0.811
Pt 0.875 0.686 0.311
```

Values from the calculation:
- Space group: I-42d

=====

Each structure's energy above the most stable one, in meV per atom: *a* 600; *b* 0.

=====

*a*
Compound: TlHPt2
Source: Alexandria
Functional: PBE
Structure: optimized geometry Values from VASP.

Structure (Quantum ESPRESSO input):
```
&SYSTEM
  ibrav = 0, nat = 4, ntyp = 3
/
ATOMIC_SPECIES
Tl 204.38 Tl.upf
H 1.01 H.upf
Pt 195.08 Pt.upf
CELL_PARAMETERS angstrom
1.627 0.940 6.489
-1.627 0.940 6.489
0.000 -1.879 6.489
ATOMIC_POSITIONS crystal
Tl 0.000 0.000 0.000
H 0.788 0.788 0.788
Pt 0.226 0.226 0.226
Pt 0.451 0.451 0.451
```

Values from the calculation:
- Space group: R3m

=====

*b*
Compound: TlHPt2
Source: Alexandria
Functional: PBE
Structure: optimized geometry Values from VASP.

Structure (Quantum ESPRESSO input):
```
&SYSTEM
  ibrav = 0, nat = 4, ntyp = 3
/
ATOMIC_SPECIES
Tl 204.38 Tl.upf
H 1.01 H.upf
Pt 195.08 Pt.upf
CELL_PARAMETERS angstrom
1.482 0.856 7.965
-1.482 0.856 7.965
0.000 -1.711 7.965
ATOMIC_POSITIONS crystal
Tl 0.000 0.000 0.000
H 0.500 0.500 0.500
Pt 0.116 0.116 0.116
Pt 0.884 0.884 0.884
```

Values from the calculation:
- Space group: R-3m

=====

Each structure's energy above the most stable one, in meV per atom: *a* 0; *b* 129.